# CePm2P

A relaxed CePm2P crystal (PBE, the Alexandria database).

Cell and atoms, written as CIF:
```
data_CePm2P
_cell_length_a 3.721
_cell_length_b 3.721
_cell_length_c 7.586
_cell_angle_alpha 90.00
_cell_angle_beta 90.00
_cell_angle_gamma 90.00
_symmetry_space_group_name_H-M 'P 4/m m m'
_symmetry_Int_Tables_number 123
_symmetry_space_group_name_Hall '-P 4 2'
loop_
_atom_site_label
_atom_site_type_symbol
_atom_site_fract_x
_atom_site_fract_y
_atom_site_fract_z
_atom_site_occupancy
Ce1 Ce 0.000 0.000 0.000 1
Pm1 Pm 0.500 0.500 0.297 1
P1 P 0.000 0.000 0.500 1
```

Summary:
- calculated volume (A^3/atom) = 26.3
- energy above the most stable polymorph in this dataset (eV/atom) = 0.0680
- spin magnetization (μB per formula unit) = 0.42
- calculated density (g/cm3) = 7.29
- VASP energy (eV/atom) = -5.72

***

# Ce3PmP4

A relaxed Ce3PmP4 crystal (PBE, the Alexandria database).

Cell and atoms, written as CIF:
```
data_Ce3PmP4
_cell_length_a 8.203
_cell_length_b 11.598
_cell_length_c 4.101
_cell_angle_alpha 90.00
_cell_angle_beta 90.00
_cell_angle_gamma 90.00
_symmetry_space_group_name_H-M 'C m m m'
_symmetry_Int_Tables_number 65
_symmetry_space_group_name_Hall '-C 2 2'
loop_
_atom_site_label
_atom_site_type_symbol
_atom_site_fract_x
_atom_site_fract_y
_atom_site_fract_z
_atom_site_occupancy
Ce1 Ce 0.000 0.000 0.000 1
Ce2 Ce 0.250 0.250 0.500 1
Pm1 Pm 0.000 0.500 0.000 1
P1 P 0.000 0.249 0.000 1
P2 P 0.246 0.000 0.500 1
```

Summary:
- calculated volume (A^3/atom) = 24.4
- spin magnetization (μB per formula unit) = 1.73
- calculated density (g/cm3) = 5.87
- VASP energy (eV/atom) = -7.04

***

# Ce4PmP5

A relaxed Ce4PmP5 crystal (PBE, the Alexandria database).

Cell and atoms, written as CIF:
```
data_Ce4PmP5
_cell_length_a 9.166
_cell_length_b 9.166
_cell_length_c 5.798
_cell_angle_alpha 90.00
_cell_angle_beta 90.00
_cell_angle_gamma 90.00
_symmetry_space_group_name_H-M 'I 4/m'
_symmetry_Int_Tables_number 87
_symmetry_space_group_name_Hall '-I 4'
loop_
_atom_site_label
_atom_site_type_symbol
_atom_site_fract_x
_atom_site_fract_y
_atom_site_fract_z
_atom_site_occupancy
Ce1 Ce 0.100 0.701 0.000 1
Pm1 Pm 0.000 0.000 0.500 1
P1 P 0.000 0.000 0.000 1
P2 P 0.101 0.697 0.500 1
```

Summary:
- calculated volume (A^3/atom) = 24.4
- spin magnetization (μB per formula unit) = 2.41
- calculated density (g/cm3) = 5.87
- VASP energy (eV/atom) = -7.07

***

# Ce3Pm2P4

A relaxed Ce3Pm2P4 crystal (PBE, the Alexandria database).

Cell and atoms, written as CIF:
```
data_Ce3Pm2P4
_cell_length_a 13.572
_cell_length_b 4.071
_cell_length_c 10.043
_cell_angle_alpha 90.00
_cell_angle_beta 119.85
_cell_angle_gamma 90.00
_symmetry_space_group_name_H-M 'C 1 2/m 1'
_symmetry_Int_Tables_number 12
loop_
_symmetry_equiv_pos_as_xyz
'x,y,z'
'-x,-y,-z'
'-x,y,-z'
'x,-y,z'
'x+1/2,y+1/2,z'
'-x+1/2,-y+1/2,-z'
'-x+1/2,y+1/2,-z'
'x+1/2,-y+1/2,z'
loop_
_atom_site_label
_atom_site_type_symbol
_atom_site_fract_x
_atom_site_fract_y
_atom_site_fract_z
_atom_site_occupancy
Ce1 Ce 0.000 0.000 0.000 1
Ce2 Ce 0.202 0.000 0.804 1
Pm1 Pm 0.104 0.500 0.394 1
P1 P 0.101 0.500 0.901 1
P2 P 0.202 0.000 0.301 1
```

Summary:
- calculated volume (A^3/atom) = 26.7
- spin magnetization (μB per formula unit) = 2.31
- calculated density (g/cm3) = 5.76
- VASP energy (eV/atom) = -6.75